## Na6PbAu (PBE)

Data for a geometry-optimized Na6PbAu structure.

Structure (extended XYZ):
```
8
Lattice="-3.0642 2.7926 -2.5639 -3.7228 -2.8395 1.3565 -1.3686 5.3697 7.4845" Properties=species:S:1:pos:R:3 pbc="T T T"
Au -0.6843 2.6849 3.7423
Na -2.8681 2.5301 6.1837
Na -3.3935 -0.0234 -0.6037
Na -2.2233 0.0001 2.6573
Pb 0.0000 0.0000 0.0000
Na -4.0778 2.6614 3.1386
Na -1.8940 2.8162 0.6972
Na -2.5388 5.3461 4.2235
```

Values from the calculation:
Space-group type   P4/mmm, No. 123
D(E_F)   0.27 states/eV per atom
Excess energy over the best structure of this formula in the dataset   0.17 eV per formula unit
Theoretical density   4.1 g/cm3
Energy   -1.99 eV/atom

## Na6Pb2Au (PBE)

Data for a geometry-optimized Na6Pb2Au structure.

Structure (extended XYZ):
```
9
Lattice="-1.6299 2.5157 1.8116 -1.0489 -5.7496 7.0408 7.4809 5.2429 -0.5502" Properties=species:S:1:pos:R:3 pbc="T T T"
Na 3.8676 4.5394 0.5616
Na -0.2860 -1.5676 1.9196
Au -0.8149 1.2578 0.9059
Pb 4.6378 1.5788 1.9800
Na 4.6781 -0.3686 4.7207
Na 1.5911 1.0682 3.3339
Na 2.0399 1.4296 -0.1500
Pb 1.7943 -2.0854 4.5103
Na -1.4715 -2.3412 5.3131
```

Values from the calculation:
Space-group type   P-62m, No. 189
D(E_F)   0.45 states/eV per atom
Excess energy over the best structure of this formula in the dataset   0.13 eV per formula unit
Theoretical density   4.9 g/cm3
Energy   -2.24 eV/atom

## Na2PbAu (PBE)

Data for a geometry-optimized Na2PbAu structure.

Structure (extended XYZ):
```
4
Lattice="-1.8135 2.5366 1.6403 -3.4527 0.3657 -0.5988 -3.7182 -5.2851 7.8461" Properties=species:S:1:pos:R:3 pbc="T T T"
Na -2.1758 -0.3716 1.9531
Au -3.5124 1.9299 0.7003
Pb -4.4900 -1.1844 4.4354
Na -3.2985 -3.9481 6.2426
```

Values from the calculation:
Space-group type   R3m, No. 160
D(E_F)   0.50 states/eV per atom
Theoretical density   7.0 g/cm3
Energy   -2.49 eV/atom

## Na8PbAu3 (PBE)

Data for a geometry-optimized Na8PbAu3 structure.

Structure (extended XYZ):
```
12
Lattice="-2.4925 0.0511 -8.4073 -4.0806 -2.6800 7.2617 -6.2657 3.7180 4.8702" Properties=species:S:1:pos:R:3 pbc="T T T"
Na -6.0539 2.3455 -4.3273
Au -8.6089 1.4868 0.9780
Na -2.7039 1.4224 0.7830
Na -7.0121 3.2766 -0.9565
Pb -0.0001 0.0000 -0.0003
Na -4.9760 -0.8002 -3.1540
Na -6.9008 0.9548 3.4955
Na -1.7432 0.4903 -2.5868
Au -4.3794 1.8848 -1.7684
Au -4.2298 -0.3976 2.7465
Na -5.9407 0.1346 0.2359
Na -7.8639 1.8929 6.8850
```

Values from the calculation:
Space-group type   Fmmm, No. 69
D(E_F)   0.30 states/eV per atom
Theoretical density   4.4 g/cm3
Energy   -2.18 eV/atom

## NaPb3Au (PBE)

Data for a geometry-optimized NaPb3Au structure.

Structure (extended XYZ):
```
10
Lattice="-2.7364 -2.4835 -3.1889 -3.6662 -3.6555 5.9928 -1.9515 8.4720 -1.1876" Properties=species:S:1:pos:R:3 pbc="T T T"
Na -5.6916 3.6741 2.0227
Pb -2.8143 2.1374 0.7505
Pb -6.1144 -2.2731 3.2815
Au -4.4225 4.8313 -3.7031
Pb -2.2397 4.6061 -1.6652
Pb -3.0302 -0.6426 3.1007
Pb -5.3239 2.9756 -1.4844
Pb -5.5398 0.1957 0.8658
Au -3.9316 -2.4983 5.3194
Na -2.6625 -1.3410 -0.4065
```

Values from the calculation:
Space-group type   C2/m, No. 12
D(E_F)   0.41 states/eV per atom
Excess energy over the best structure of this formula in the dataset   0.06 eV per formula unit
Theoretical density   9.7 g/cm3
Energy   -3.25 eV/atom

## Na3Pb5Au2 (PBE)

Data for a geometry-optimized Na3Pb5Au2 structure.

Structure (extended XYZ):
```
20
Lattice="6.8469 0.0000 0.0000 3.4234 9.4896 -1.1842 3.4234 1.3765 9.4636" Properties=species:S:1:pos:R:3 pbc="T T T"
Na 6.8469 4.3827 7.8504
Pb 3.4234 5.2081 1.3502
Au 3.4234 7.0501 -0.7596
Na 3.4234 2.1341 6.1371
Pb 11.9821 8.2967 6.3216
Pb 1.7117 2.5694 1.9578
Na 5.1352 0.0000 0.0000
Pb 5.1352 5.4331 4.1397
Pb 8.5586 8.2967 6.3216
Au 6.8469 9.7276 1.2805
Pb 10.2703 5.6580 6.9292
Pb 6.8469 2.6839 4.6631
Au 10.2703 3.8160 9.0390
Pb 5.1352 2.5694 1.9578
Na 10.2703 8.7320 2.1423
Na 6.8469 6.4834 0.4290
Pb 8.5586 5.4331 4.1397
Pb 6.8469 8.1822 3.6163
Na 1.7117 0.0000 0.0000
Au 6.8469 1.1385 6.9989
```

Values from the calculation:
Space-group type   Ibam, No. 72
D(E_F)   0.44 states/eV per atom
Theoretical density   8.0 g/cm3
Energy   -2.99 eV/atom